Entry 1:
VASP calculation (PBE-GGA) on crystalline Y2AgS3 at its relaxed geometry.

The structure in extended XYZ format:
```
24
Lattice="-8.281 -2.254 0.473 0.941 -3.608 -0.728 1.597 -2.664 15.270" Properties=species:S:1:pos:R:3 pbc="T T T"
Ag -3.347 -2.084 1.049
Ag -6.902 -4.187 6.880
Ag 1.159 -4.339 8.135
Ag -2.396 -6.442 13.966
S -0.895 -1.445 1.048
S -4.322 -4.424 1.474
S -6.708 -3.519 3.820
S -2.519 -2.474 4.051
S 0.257 -4.028 5.428
S -4.479 -3.500 6.602
S -1.263 -5.026 8.413
S -6.000 -4.498 9.587
S -3.224 -6.052 10.964
S 0.966 -5.007 11.195
S -1.421 -4.102 13.541
S -4.848 -7.081 13.967
Y -6.574 -2.932 1.079
Y -0.022 -3.561 2.752
Y -4.041 -4.890 4.150
Y -1.816 -2.834 6.743
Y -3.927 -5.692 8.272
Y -1.702 -3.636 10.865
Y -5.721 -4.965 12.264
Y 0.831 -5.594 13.936
```

Results
- distance to the lowest polymorph of the same formula (meV per atom) = 0

=====

Entry 2:
VASP calculation (PBE-GGA) on crystalline YAg2S4 at its relaxed geometry.

The structure in extended XYZ format:
```
14
Lattice="-7.553 1.807 -0.023 -3.913 0.417 6.695 -2.352 6.891 2.701" Properties=species:S:1:pos:R:3 pbc="T T T"
S -6.704 5.390 2.741
S -5.076 4.768 5.744
S -8.453 5.576 5.734
S -5.287 2.068 1.285
S -1.910 1.260 1.296
S -3.660 1.446 4.289
S -7.402 2.495 4.526
S -2.961 4.341 2.503
Y 0.000 0.000 0.000
Y -10.363 6.836 7.029
Ag -5.182 3.418 3.515
Ag -7.138 3.626 6.862
Ag -8.958 4.322 3.503
Ag -6.358 6.864 4.865
```

Results
- raw total energy (eV/cell) = -62.71

=====

Entry 3:
VASP calculation (PBE-GGA) on crystalline Y2AgS3 at its relaxed geometry.

The structure in extended XYZ format:
```
24
Lattice="10.182 0.000 0.000 0.000 3.840 0.000 0.000 0.000 13.032" Properties=species:S:1:pos:R:3 pbc="T T T"
Ag 2.775 0.960 3.079
Ag 7.866 0.960 3.437
Ag 2.316 2.880 9.595
Ag 7.407 2.880 9.953
S 1.000 0.960 1.335
S 4.681 0.960 1.376
S 7.815 2.880 1.767
S 2.724 2.880 4.749
S 9.772 0.960 5.140
S 6.091 0.960 5.181
S 4.091 2.880 7.851
S 0.410 2.880 7.892
S 7.458 0.960 8.283
S 2.367 0.960 11.265
S 5.501 2.880 11.656
S 9.182 2.880 11.697
Y 2.878 2.880 0.271
Y 0.235 2.880 3.196
Y 5.326 2.880 3.320
Y 7.968 2.880 6.245
Y 2.213 0.960 6.787
Y 4.855 0.960 9.712
Y 9.946 0.960 9.836
Y 7.304 0.960 12.761
```

Results
- distance to the lowest polymorph of the same formula (meV per atom) = 30

=====

Entry 4:
VASP calculation (PBE-GGA) on crystalline ZrAgS2 at its relaxed geometry.

The structure in extended XYZ format:
```
16
Lattice="6.826 0.000 0.000 0.000 7.801 0.000 0.000 0.000 7.061" Properties=species:S:1:pos:R:3 pbc="T T T"
Ag 5.749 0.457 0.744
Ag 2.336 3.443 0.744
Ag 4.490 4.358 4.274
Ag 1.077 7.344 4.274
S 6.066 1.022 3.317
S 2.653 2.879 3.317
S 0.007 4.933 3.477
S 3.420 6.769 3.477
S 4.173 4.923 6.847
S 0.760 6.779 6.847
S 3.405 1.033 7.007
S 6.818 2.868 7.007
Zr 6.369 5.083 1.041
Zr 2.956 6.619 1.041
Zr 3.870 1.182 4.571
Zr 0.457 2.719 4.571
```

Results
- raw total energy (eV/cell) = -90.76

=====

Entry 5:
VASP calculation (PBE-GGA) on crystalline Zr3AgS6 at its relaxed geometry.

The structure in extended XYZ format:
```
10
Lattice="3.155 1.821 6.459 -3.155 1.821 6.459 0.000 -3.643 6.459" Properties=species:S:1:pos:R:3 pbc="T T T"
Ag 0.000 0.000 9.688
S 1.062 1.839 7.978
S -1.062 1.839 11.398
S -2.124 0.000 7.978
S 2.124 0.000 11.398
S 1.062 -1.839 7.978
S -1.062 -1.839 11.398
Zr 0.000 0.000 0.000
Zr 0.000 0.000 6.451
Zr 0.000 0.000 12.925
```

Results
- raw total energy (eV/cell) = -66.60

=====

Entry 6:
VASP calculation (PBE-GGA) on crystalline ZrAgS2 at its relaxed geometry.

The structure in extended XYZ format:
```
8
Lattice="-2.163 -5.127 -2.903 2.254 -2.040 1.923 -4.820 0.879 6.584" Properties=species:S:1:pos:R:3 pbc="T T T"
Ag -1.381 -2.679 3.824
Ag -3.349 -3.609 1.779
S 0.435 -2.139 2.268
S -1.774 -3.635 -0.094
S -2.955 -2.652 5.698
S -5.165 -4.149 3.336
Zr 0.032 -5.376 -0.695
Zr -4.762 -0.911 6.299
```

Results
- raw total energy (eV/cell) = -47.38

=====

Entry 7:
VASP calculation (PBE-GGA) on crystalline ZrAgS3 at its relaxed geometry.

The structure in extended XYZ format:
```
20
Lattice="-9.208 2.253 1.592 -0.565 -3.471 1.646 2.868 4.426 10.320" Properties=species:S:1:pos:R:3 pbc="T T T"
Ag -8.226 1.915 3.506
Ag -3.088 1.613 4.633
Ag -3.817 1.595 8.926
Ag 1.321 1.293 10.052
S -1.868 -1.991 2.031
S -4.582 0.837 2.482
S -7.003 0.185 4.859
S -2.284 -0.763 4.477
S 0.765 0.856 4.360
S -5.328 0.901 6.943
S -1.577 2.307 6.615
S -7.670 2.351 9.199
S -4.621 3.971 9.081
S 0.098 3.022 8.699
S -2.323 2.371 11.076
S -5.037 5.199 11.527
Zr -6.533 -0.895 2.741
Zr -0.734 -0.177 6.246
Zr -6.171 3.385 7.312
Zr -0.372 4.103 10.818
```

Results
- raw total energy (eV/cell) = -109.25

=====

Entry 8:
VASP calculation (PBE-GGA) on crystalline ZrAg2S3 at its relaxed geometry.

The structure in extended XYZ format:
```
12
Lattice="9.622 -1.927 0.000 9.622 1.927 0.000 -0.020 0.000 7.139" Properties=species:S:1:pos:R:3 pbc="T T T"
Ag 18.740 0.000 1.337
Ag 13.312 0.000 3.398
Ag 5.913 0.000 3.741
Ag 0.485 0.000 5.802
S 2.007 0.000 0.958
S 14.670 0.000 1.366
S 8.025 0.000 2.517
S 11.200 0.000 4.622
S 4.555 0.000 5.772
S 17.218 0.000 6.180
Zr 6.669 0.000 0.465
Zr 12.556 0.000 6.674
```

Results
- distance to the lowest polymorph of the same formula (meV per atom) = 0

=====

Entry 9:
VASP calculation (PBE-GGA) on crystalline ZrAg2S3 at its relaxed geometry.

The structure in extended XYZ format:
```
12
Lattice="-5.321 -1.818 -3.574 3.005 -5.021 3.187 -2.610 3.753 4.991" Properties=species:S:1:pos:R:3 pbc="T T T"
Ag -1.384 -0.886 -0.345
Ag -3.910 -3.789 -1.302
Ag -1.225 0.428 3.341
Ag -1.331 -3.407 4.347
S -1.592 -2.005 2.148
S -4.082 -0.758 0.209
S 1.251 -2.493 4.944
S -3.919 0.265 3.814
S -1.381 -0.422 5.958
S -6.942 2.033 1.846
Zr -1.570 -4.417 1.334
Zr -4.216 -2.024 2.740
```

Results
- distance to the lowest polymorph of the same formula (meV per atom) = 44

=====

Entry 10:
VASP calculation (PBE-GGA) on crystalline Ag9Sb at its relaxed geometry.

The structure in extended XYZ format:
```
20
Lattice="-0.223 1.699 -2.411 -0.427 -2.411 -1.660 -49.457 3.778 7.228" Properties=species:S:1:pos:R:3 pbc="T T T"
Ag -7.849 1.441 -0.075
Ag -9.993 -0.459 0.599
Ag -11.901 1.750 0.517
Ag -14.003 -0.152 1.186
Ag -15.892 2.055 1.101
Ag -17.982 0.152 1.767
Ag -19.865 2.358 1.681
Ag -21.953 0.455 2.348
Ag -23.842 2.662 2.263
Ag -25.939 0.759 2.930
Ag -27.828 2.967 2.845
Ag -29.916 1.063 3.511
Ag -31.799 3.270 3.426
Ag -33.890 1.367 4.092
Ag -35.778 3.574 4.007
Ag -37.880 1.671 4.675
Ag -39.789 3.880 4.593
Ag -41.932 1.981 5.267
Sb -5.643 -0.791 -0.036
Sb -44.138 4.212 5.229
```

Results
- distance to the lowest polymorph of the same formula (meV per atom) = 0

=====

Entry 11:
VASP calculation (PBE-GGA) on crystalline Ag9Sb2 at its relaxed geometry.

The structure in extended XYZ format:
```
11
Lattice="-1.373 1.212 2.354 -1.518 -0.500 -2.518 -7.893 -29.599 10.631" Properties=species:S:1:pos:R:3 pbc="T T T"
Ag -3.113 -6.092 1.319
Ag -2.218 -8.318 2.988
Ag -4.216 -9.836 4.493
Ag -4.841 -12.570 3.646
Ag -3.946 -14.799 5.315
Ag -5.944 -16.316 6.820
Ag -6.569 -19.050 5.973
Ag -5.675 -21.281 7.643
Ag -7.671 -22.795 9.147
Sb -2.447 -3.206 2.111
Sb -8.337 -25.681 8.355
```

Results
- raw total energy (eV/cell) = -32.40

=====

Entry 12:
VASP calculation (PBE-GGA) on crystalline Ag17Sb at its relaxed geometry.

The structure in extended XYZ format:
```
36
Lattice="-0.540 3.144 3.875 -5.161 -2.374 1.207 14.403 -21.484 19.327" Properties=species:S:1:pos:R:3 pbc="T T T"
Ag -0.270 1.572 1.937
Ag -2.851 0.385 2.541
Ag -3.862 -1.794 0.918
Ag -0.579 -0.094 4.328
Ag 0.980 -1.084 2.102
Ag -1.585 -2.263 2.702
Ag -3.150 -1.298 4.938
Ag 1.697 -0.589 6.116
Ag -0.877 -1.773 6.718
Ag -1.895 -3.953 5.081
Ag 0.692 -2.763 4.512
Ag 1.936 -5.403 4.636
Ag -1.180 -3.470 9.090
Ag 0.375 -4.447 6.893
Ag -2.182 -5.623 7.491
Ag 4.221 -5.939 6.441
Ag 1.667 -7.113 7.038
Ag 2.681 -4.962 8.689
Ag 6.021 -15.753 15.720
Ag 7.035 -13.601 17.371
Ag 4.481 -14.776 17.968
Ag 10.884 -15.091 16.918
Ag 8.327 -16.268 17.516
Ag 9.881 -17.245 15.319
Ag 6.766 -15.312 19.773
Ag 8.009 -17.952 19.897
Ag 10.597 -16.761 19.328
Ag 9.578 -18.942 17.691
Ag 7.005 -20.126 18.293
Ag 11.852 -19.417 19.471
Ag 10.286 -18.452 21.707
Ag 7.722 -19.631 22.307
Ag 9.280 -20.621 20.081
Ag 13.103 -22.064 19.617
Sb 0.211 -6.315 9.438
Sb 8.491 -14.400 14.971
```

Results
- distance to the lowest polymorph of the same formula (meV per atom) = 0